Density functional theory data (PBE-GGA) for a relaxed Na3Dy2ZrTe6 crystal.

Lattice parameters (Å, degrees): 7.481 7.481 8.036 98.95 98.95 120.01
Each line ends with the local moment (μB).
Atoms (fractional coordinates):
Te 0.755 0.755 0.231  0.00
Te 0.399 0.077 0.230  0.00
Dy 0.334 0.666 0.000  0.04
Te 0.923 0.601 0.770  0.00
Dy 0.666 0.334 0.000  0.04
Na 0.500 0.500 0.500  0.00
Zr 0.000 0.000 0.000  0.28
Te 0.601 0.923 0.770  0.00
Te 0.245 0.245 0.769  0.00
Na 0.829 0.171 0.500  0.00
Na 0.171 0.829 0.500  0.00
Te 0.077 0.399 0.230  0.00

## Properties
E_form (uncorrected)   -1156 meV per atom
SG   C2/m
Final energy   -54.430 eV for the cell shown
DOS at the Fermi energy   4.88 states/eV per cell

---

Density functional theory data (PBE-GGA) for a relaxed TmSi3IrRu crystal.

Lattice parameters (Å, degrees): 5.466 6.198 7.498 114.42 90.00 90.00
Atoms (fractional coordinates):
Si 0.000 0.713 0.000
Tm 0.750 0.178 0.355
Ru 0.750 0.936 0.871
Si 0.250 0.228 0.456
Tm 0.250 0.822 0.645
Si 0.500 0.287 0.000
Ru 0.250 0.064 0.129
Si 0.000 0.287 0.000
Ir 0.250 0.392 0.785
Si 0.750 0.772 0.544
Si 0.500 0.713 0.000
Ir 0.750 0.608 0.215

## Properties
E_form (uncorrected)   -504 meV per atom
SG   Cmcm
Final energy   -83.799 eV for the cell shown
DOS at the Fermi energy   3.84 states/eV per cell

---

Density functional theory data (PBE-GGA) for a relaxed La3In4Au2 crystal.

Lattice parameters (Å, degrees): 4.879 6.333 9.109 71.81 74.47 67.34
Atoms (fractional coordinates):
In 0.978 0.686 0.357
La 0.000 0.000 0.000
Au 0.400 0.930 0.271
La 0.679 0.288 0.354
In 0.022 0.314 0.643
In 0.740 0.602 0.918
La 0.321 0.712 0.646
In 0.260 0.398 0.082
Au 0.600 0.070 0.729

## Properties
Energy of formation from the pure elements   -0.66 eV per atom
SG   C2/m
Final energy   -38.247 eV for the cell shown
DOS at the Fermi energy   4.99 states/eV per cell

---

Density functional theory data (PBE-GGA) for a relaxed NaPuSnPt crystal.

Lattice parameters (Å, degrees): 4.933 4.933 4.933 60.00 60.00 60.00
Each line ends with the local moment (μB).
Atoms (fractional coordinates):
Sn 0.750 0.750 0.750  -0.08
Na 0.000 0.000 0.000  0.02
Pt 0.500 0.500 0.500  -0.14
Pu 0.250 0.250 0.250  5.20

## Properties
Energy of formation from the pure elements   -0.37 eV per atom
SG   F-43m
Final energy   -27.171 eV for the cell shown
DOS at the Fermi energy   9.49 states/eV per cell

---

Density functional theory data (PBE-GGA) for a relaxed PPtWCl2 crystal.

Lattice parameters (Å, degrees): 4.549 4.549 5.012 90.00 90.00 90.00
Atoms (fractional coordinates):
Cl 0.500 0.000 0.000
Pt 0.500 0.500 0.500
W 0.000 0.000 0.000
Cl 0.000 0.500 0.000
P 0.000 0.000 0.500

## Properties
Distance to the lowest polymorph of the same formula   0 meV per atom
E_form (uncorrected)   755 meV per atom
SG   P4/mmm
Final energy   -24.324 eV for the cell shown
DOS at the Fermi energy   4.84 states/eV per cell

---

Density functional theory data (PBE-GGA) for a relaxed Tm2NpRu2 crystal.

Lattice parameters (Å, degrees): 5.744 5.744 7.735 80.03 80.03 59.90
Each line ends with the local moment (μB).
Atoms (fractional coordinates):
Np 0.144 0.856 0.250  3.04
Ru 0.735 0.008 0.510  -0.27
Tm 0.517 0.786 0.849  0.15
Ru 0.008 0.735 0.010  -0.27
Ru 0.992 0.265 0.990  -0.27
Tm 0.786 0.517 0.349  0.15
Tm 0.214 0.483 0.651  0.15
Np 0.856 0.144 0.750  3.04
Ru 0.265 0.992 0.490  -0.27
Tm 0.483 0.214 0.151  0.15

## Properties
Energy of formation from the pure elements   -0.34 eV per atom
SG   C2/c
Final energy   -84.300 eV for the cell shown
DOS at the Fermi energy   12.45 states/eV per cell

---

Density functional theory data (PBE-GGA) for a relaxed KGaSn crystal.

Lattice parameters (Å, degrees): 5.598 4.607 4.607 120.00 90.00 90.00
Atoms (fractional coordinates):
K 0.667 0.667 0.333
Sn 0.168 0.333 0.667
Ga 0.165 0.000 0.000

## Properties
Energy of formation from the pure elements   -0.21 eV per atom
SG   P3m1
Final energy   -8.755 eV for the cell shown
DOS at the Fermi energy   0.41 states/eV per cell

---

Density functional theory data (PBE-GGA) for a relaxed Np2Si3GeIr4 crystal.

Lattice parameters (Å, degrees): 4.152 4.152 9.970 90.00 90.00 90.00
Each line ends with the local moment (μB).
Atoms (fractional coordinates):
Ge 0.500 0.500 0.500  -0.01
Np 0.500 0.000 0.256  3.58
Ir 0.500 0.000 0.634  -0.12
Ir 0.000 0.000 0.000  -0.04
Si 0.000 0.000 0.500  -0.01
Si 0.500 0.000 0.871  -0.01
Np 0.000 0.500 0.744  3.58
Ir 0.000 0.500 0.366  -0.12
Ir 0.500 0.500 0.000  -0.04
Si 0.000 0.500 0.129  -0.01

## Properties
E_form (uncorrected)   -663 meV per atom
SG   P-4m2
Final energy   -88.840 eV for the cell shown
DOS at the Fermi energy   21.38 states/eV per cell

---

Density functional theory data (PBE-GGA) for a relaxed Pr2ThIn6 crystal.

Lattice parameters (Å, degrees): 4.605 8.787 8.787 52.10 74.81 74.81
Atoms (fractional coordinates):
Pr 0.876 0.624 0.624
Pr 0.124 0.376 0.376
In 0.500 0.305 0.695
In 0.315 0.993 0.376
In 0.500 0.695 0.305
In 0.685 0.624 0.007
In 0.315 0.376 0.993
In 0.685 0.007 0.624
Th 0.000 0.000 0.000

## Properties
Energy of formation from the pure elements   -0.23 eV per atom
Distance to the lowest polymorph of the same formula   184 meV per atom
SG   Immm
Final energy   -35.458 eV for the cell shown
DOS at the Fermi energy   8.06 states/eV per cell

---

Density functional theory data (PBE-GGA) for a relaxed HoTh2Si3Ir4 crystal.

Lattice parameters (Å, degrees): 4.122 4.122 11.209 90.00 90.00 90.00
Atoms (fractional coordinates):
Si 0.500 0.000 0.882
Th 0.000 0.500 0.769
Th 0.500 0.000 0.231
Ir 0.500 0.000 0.668
Ir 0.500 0.500 0.000
Si 0.000 0.500 0.118
Ir 0.000 0.500 0.332
Si 0.000 0.000 0.500
Ho 0.500 0.500 0.500
Ir 0.000 0.000 0.000

## Properties
E_form (uncorrected)   -990 meV per atom
SG   P-4m2
Final energy   -81.032 eV for the cell shown
DOS at the Fermi energy   6.44 states/eV per cell

---

Density functional theory data (PBE-GGA) for a relaxed Co2ReNi crystal.

Lattice parameters (Å, degrees): 2.580 3.578 5.056 90.00 90.00 90.00
Atoms (fractional coordinates):
Ni 0.500 0.500 0.250
Co 0.000 0.000 0.495
Co 0.000 0.000 0.005
Re 0.500 0.500 0.750

## Properties
Energy of formation from the pure elements   0.05 eV per atom
Distance to the lowest polymorph of the same formula   36 meV per atom
SG   Pmmm
Final energy   -32.252 eV for the cell shown
DOS at the Fermi energy   5.00 states/eV per cell

---

Density functional theory data (PBE-GGA) for a relaxed HoZrZn2 crystal.

Lattice parameters (Å, degrees): 3.453 3.453 6.837 90.00 90.00 90.00
Atoms (fractional coordinates):
Ho 0.500 0.500 0.500
Zr 0.500 0.500 0.000
Zn 0.000 0.000 0.229
Zn 0.000 0.000 0.771

## Properties
Energy of formation from the pure elements   -0.28 eV per atom
SG   P4/mmm
Final energy   -16.813 eV for the cell shown
DOS at the Fermi energy   3.63 states/eV per cell

---

Density functional theory data (PBE-GGA) for a relaxed Ac2Nd2CoAu2 crystal.

Lattice parameters (Å, degrees): 4.127 7.314 7.835 68.42 74.76 90.02
Atoms (fractional coordinates):
Co 0.000 0.000 0.000
Nd 0.480 0.238 0.039
Au 0.119 0.570 0.760
Ac 0.794 0.782 0.410
Au 0.881 0.430 0.240
Ac 0.206 0.218 0.590
Nd 0.520 0.762 0.961

## Properties
Energy of formation from the pure elements   -0.43 eV per atom
SG   C2/m
Final energy   -34.435 eV for the cell shown
DOS at the Fermi energy   5.83 states/eV per cell

---

Density functional theory data (PBE-GGA) for a relaxed Tl2Cd2Se3 crystal.

Lattice parameters (Å, degrees): 8.301 7.951 7.655 90.00 61.08 90.00
Atoms (fractional coordinates):
Se 0.756 0.589 0.333
Cd 0.584 0.370 0.639
Cd 0.084 0.130 0.639
Se 0.744 0.089 0.667
Se 0.244 0.411 0.667
Tl 0.605 0.173 0.162
Tl 0.105 0.327 0.162
Cd 0.416 0.630 0.361
Tl 0.895 0.673 0.838
Cd 0.916 0.870 0.361
Se 0.500 0.500 0.000
Tl 0.395 0.827 0.838
Se 0.000 0.000 0.000
Se 0.256 0.911 0.333

## Properties
Distance to the lowest polymorph of the same formula   35 meV per atom
E_form (uncorrected)   -455 meV per atom
SG   P2_1/c
Final energy   -40.407 eV for the cell shown

---

Density functional theory data (PBE-GGA) for a relaxed Al3SeF crystal.

Lattice parameters (Å, degrees): 5.156 5.156 5.156 90.00 90.00 90.00
Atoms (fractional coordinates):
Al 0.000 0.000 0.500
Al 0.000 0.500 0.000
F 0.500 0.500 0.500
Al 0.500 0.000 0.000
Se 0.000 0.000 0.000

## Properties
Distance to the lowest polymorph of the same formula   575 meV per atom
E_form (uncorrected)   386 meV per atom
SG   Pm-3m
Final energy   -14.654 eV for the cell shown
DOS at the Fermi energy   3.35 states/eV per cell

---

Density functional theory data (PBE-GGA) for a relaxed Rb3CaAg2Cl6 crystal.

Lattice parameters (Å, degrees): 7.630 7.630 8.342 90.00 90.00 120.00
Atoms (fractional coordinates):
Cl 0.330 0.165 0.696
Rb 0.667 0.333 0.378
Rb 0.000 0.000 0.000
Cl 0.835 0.165 0.696
Cl 0.165 0.330 0.304
Ag 0.667 0.333 0.871
Rb 0.333 0.667 0.622
Ag 0.333 0.667 0.129
Cl 0.835 0.670 0.696
Cl 0.165 0.835 0.304
Ca 0.000 0.000 0.500
Cl 0.670 0.835 0.304

## Properties
E_form (uncorrected)   -1414 meV per atom
SG   P-3m1
Final energy   -38.652 eV for the cell shown
DOS at the Fermi energy   3.72 states/eV per cell

---

Density functional theory data (PBE-GGA) for a relaxed TbScAg6 crystal.

Lattice parameters (Å, degrees): 4.368 5.148 8.082 79.59 74.32 64.89
Atoms (fractional coordinates):
Ag 0.748 0.621 0.883
Ag 0.252 0.379 0.117
Ag 0.753 0.129 0.364
Tb 0.000 0.500 0.500
Sc 0.000 0.000 0.000
Ag 0.504 0.237 0.756
Ag 0.247 0.871 0.636
Ag 0.496 0.763 0.244

## Properties
Energy of formation from the pure elements   -0.19 eV per atom
SG   C2/m
Final energy   -29.596 eV for the cell shown
DOS at the Fermi energy   5.31 states/eV per cell

---

Density functional theory data (PBE-GGA) for a relaxed In2GaTePt crystal.

Lattice parameters (Å, degrees): 5.303 5.303 4.830 90.00 90.00 90.00
Atoms (fractional coordinates):
In 0.000 0.500 0.000
Te 0.500 0.500 0.500
In 0.500 0.000 0.000
Pt 0.000 0.000 0.000
Ga 0.000 0.000 0.500

## Properties
E_form (uncorrected)   -320 meV per atom
SG   P4/mmm
Final energy   -19.286 eV for the cell shown
DOS at the Fermi energy   2.59 states/eV per cell

---

Density functional theory data (PBE-GGA) for a relaxed La2Tb3Pr6Y crystal.

Lattice parameters (Å, degrees): 6.372 6.372 12.125 95.04 95.04 120.01
Atoms (fractional coordinates):
Pr 0.417 0.085 0.254
Pr 0.248 0.248 0.745
Pr 0.915 0.583 0.746
Tb 0.834 0.166 0.500
La 0.667 0.333 0.000
Pr 0.752 0.752 0.255
La 0.333 0.667 0.000
Pr 0.085 0.417 0.254
Pr 0.583 0.915 0.746
Tb 0.500 0.500 0.500
Y 0.000 0.000 0.000
Tb 0.166 0.834 0.500

## Properties
Energy of formation from the pure elements   0.02 eV per atom
SG   C2/m
Final energy   -58.702 eV for the cell shown
DOS at the Fermi energy   17.44 states/eV per cell

---

Density functional theory data (PBE-GGA) for a relaxed Ba3Cu crystal.

Lattice parameters (Å, degrees): 6.106 6.106 6.106 60.00 60.00 60.00
Atoms (fractional coordinates):
Ba 0.250 0.250 0.250
Ba 0.500 0.500 0.500
Cu 0.750 0.750 0.750
Ba 0.000 0.000 0.000

## Properties
Energy of formation from the pure elements   0.33 eV per atom
SG   Fm-3m
Final energy   -8.527 eV for the cell shown
DOS at the Fermi energy   4.80 states/eV per cell

---

Density functional theory data (PBE-GGA) for a relaxed Ac2NpN3 crystal.

Lattice parameters (Å, degrees): 6.431 6.313 6.313 65.95 89.89 89.89
Each line ends with the local moment (μB).
Atoms (fractional coordinates):
N 0.500 0.845 0.845  -0.09
N 0.000 0.845 0.845  -0.09
N 0.750 0.593 0.407  -0.09
Ac 0.750 0.168 0.491  0.12
Np 0.250 0.104 0.896  3.35
Ac 0.750 0.509 0.832  0.12
N 0.000 0.155 0.155  -0.09
Ac 0.250 0.832 0.509  0.12
N 0.250 0.407 0.593  -0.09
N 0.500 0.155 0.155  -0.09
Np 0.750 0.896 0.104  3.35
Ac 0.250 0.491 0.168  0.12

## Properties
Distance to the lowest polymorph of the same formula   30 meV per atom
E_form (uncorrected)   -958 meV per atom
SG   C2/c
Final energy   -103.758 eV for the cell shown
DOS at the Fermi energy   11.10 states/eV per cell

---

Density functional theory data (PBE-GGA) for a relaxed Al2NiSe crystal.

Lattice parameters (Å, degrees): 4.856 4.856 4.856 137.91 123.93 72.52
Atoms (fractional coordinates):
Al 0.986 0.986 0.000
Se 0.250 0.750 0.500
Ni 0.750 0.250 0.500
Al 0.514 0.514 0.000

## Properties
E_form (uncorrected)   26 meV per atom
SG   Immm
Final energy   -16.647 eV for the cell shown
DOS at the Fermi energy   2.23 states/eV per cell

---

Density functional theory data (PBE-GGA) for a relaxed Na2BeAs crystal.

Lattice parameters (Å, degrees): 3.933 3.933 10.592 79.30 79.30 90.00
Atoms (fractional coordinates):
Be 0.500 0.500 0.000
Na 0.375 0.372 0.750
As 0.750 0.250 0.500
As 0.000 0.000 0.000
Na 0.122 0.625 0.250
Be 0.250 0.750 0.500
Na 0.628 0.125 0.250
Na 0.875 0.878 0.750

## Properties
Energy of formation from the pure elements   0.41 eV per atom
Distance to the lowest polymorph of the same formula   424 meV per atom
SG   I-42d
Final energy   -18.752 eV for the cell shown
DOS at the Fermi energy   3.89 states/eV per cell

---

Density functional theory data (PBE-GGA) for a relaxed Tb5TmAl4 crystal.

Lattice parameters (Å, degrees): 3.587 3.587 19.664 90.00 90.00 90.00
Atoms (fractional coordinates):
Al 0.000 0.000 0.781
Tb 0.500 0.500 0.313
Tb 0.500 0.500 0.687
Tb 0.500 0.500 0.125
Al 0.000 0.000 0.594
Tb 0.500 0.500 0.875
Al 0.000 0.000 0.406
Al 0.000 0.000 0.219
Tb 0.500 0.500 0.500
Tm 0.000 0.000 0.000

## Properties
Energy of formation from the pure elements   -0.30 eV per atom
SG   P4/mmm
Final energy   -45.639 eV for the cell shown
DOS at the Fermi energy   7.48 states/eV per cell